(1)
# LuThH (PBE, relaxed)
data_LuThH
_chemical_formula_sum 'Lu1 Th1 H1'
_cell_length_a 3.548
_cell_length_b 3.548
_cell_length_c 5.783
_cell_angle_alpha 90.00
_cell_angle_beta 90.00
_cell_angle_gamma 120.00
_space_group_name_H-M_alt 'P 1'
_space_group_IT_number 1
loop_
_space_group_symop_operation_xyz
'x,y,z'
loop_
_atom_site_label
_atom_site_fract_x
_atom_site_fract_y
_atom_site_fract_z
_atom_site_occupancy
Lu1 0.000 0.000 0.000 1
Th1 0.333 0.667 0.500 1
H1 0.667 0.333 0.228 1
# crystal system = trigonal
# ΔE to the lowest computed polymorph = 0.000 eV per atom
# SG = No. 156
# electronic total energy = -0.194 hartree per atom

(2)
# NdTlHg (PBE, relaxed)
data_NdTlHg
_chemical_formula_sum 'Nd1 Tl1 Hg1'
_cell_length_a 5.027
_cell_length_b 5.027
_cell_length_c 5.027
_cell_angle_alpha 60.00
_cell_angle_beta 60.00
_cell_angle_gamma 60.00
_space_group_name_H-M_alt 'P 1'
_space_group_IT_number 1
loop_
_space_group_symop_operation_xyz
'x,y,z'
loop_
_atom_site_label
_atom_site_fract_x
_atom_site_fract_y
_atom_site_fract_z
_atom_site_occupancy
Nd1 0.000 0.000 0.000 1
Tl1 0.500 0.500 0.500 1
Hg1 0.250 0.250 0.250 1
# crystal system = cubic
# SG = No. 216
# electronic total energy = -0.104 hartree per atom

(3)
# LaPmPtAu (PBE, relaxed)
data_LaPmPtAu
_chemical_formula_sum 'La1 Pm1 Pt1 Au1'
_cell_length_a 4.762
_cell_length_b 5.841
_cell_length_c 5.841
_cell_angle_alpha 39.46
_cell_angle_beta 90.00
_cell_angle_gamma 90.00
_space_group_name_H-M_alt 'P 1'
_space_group_IT_number 1
loop_
_space_group_symop_operation_xyz
'x,y,z'
loop_
_atom_site_label
_atom_site_fract_x
_atom_site_fract_y
_atom_site_fract_z
_atom_site_occupancy
La1 0.000 0.000 0.000 1
Pm1 0.500 0.274 0.274 1
Pt1 0.000 0.728 0.728 1
Au1 0.500 0.552 0.552 1
# crystal system = orthorhombic
# ΔE to the lowest computed polymorph = 0.000 eV per atom
# SG = No. 38
# electronic total energy = -0.211 hartree per atom

(4)
# HoInRh (PBE, relaxed)
data_HoInRh
_chemical_formula_sum 'Ho3 In3 Rh3'
_cell_length_a 7.538
_cell_length_b 7.538
_cell_length_c 3.880
_cell_angle_alpha 90.00
_cell_angle_beta 90.00
_cell_angle_gamma 120.00
_space_group_name_H-M_alt 'P 1'
_space_group_IT_number 1
loop_
_space_group_symop_operation_xyz
'x,y,z'
loop_
_atom_site_label
_atom_site_fract_x
_atom_site_fract_y
_atom_site_fract_z
_atom_site_occupancy
Ho1 0.000 0.404 0.000 1
Ho2 0.404 0.000 0.000 1
Ho3 0.596 0.596 0.000 1
In1 0.000 0.741 0.500 1
In2 0.259 0.259 0.500 1
In3 0.741 0.000 0.500 1
Rh1 0.000 0.000 0.000 1
Rh2 0.333 0.667 0.500 1
Rh3 0.667 0.333 0.500 1
# crystal system = hexagonal
# SG = No. 189
# electronic total energy = -0.208 hartree per atom

(5)
# GeH3F (PBE, relaxed)
data_GeH3F
_chemical_formula_sum 'Ge1 H3 F1'
_cell_length_a 3.428
_cell_length_b 3.428
_cell_length_c 3.428
_cell_angle_alpha 90.00
_cell_angle_beta 90.00
_cell_angle_gamma 90.00
_space_group_name_H-M_alt 'P 1'
_space_group_IT_number 1
loop_
_space_group_symop_operation_xyz
'x,y,z'
loop_
_atom_site_label
_atom_site_fract_x
_atom_site_fract_y
_atom_site_fract_z
_atom_site_occupancy
Ge1 0.000 0.000 0.000 1
H1 0.000 0.000 0.500 1
H2 0.000 0.500 0.000 1
H3 0.500 0.000 0.000 1
F1 0.500 0.500 0.500 1
# crystal system = cubic
# ΔE to the lowest computed polymorph = 0.573 eV per atom
# SG = No. 221
# electronic total energy = -0.121 hartree per atom

(6)
# Tb2SmHoTh (PBE, relaxed)
data_Tb2SmHoTh
_chemical_formula_sum 'Tb4 Sm2 Ho2 Th2'
_cell_length_a 8.542
_cell_length_b 6.399
_cell_length_c 6.320
_cell_angle_alpha 90.00
_cell_angle_beta 97.91
_cell_angle_gamma 90.00
_space_group_name_H-M_alt 'P 1'
_space_group_IT_number 1
loop_
_space_group_symop_operation_xyz
'x,y,z'
loop_
_atom_site_label
_atom_site_fract_x
_atom_site_fract_y
_atom_site_fract_z
_atom_site_occupancy
Tb1 0.186 0.190 0.292 1
Tb2 0.186 0.810 0.792 1
Tb3 0.814 0.190 0.208 1
Tb4 0.814 0.810 0.708 1
Sm1 0.500 0.500 0.000 1
Sm2 0.500 0.500 0.500 1
Ho1 0.000 0.324 0.750 1
Ho2 0.000 0.676 0.250 1
Th1 0.500 0.051 0.750 1
Th2 0.500 0.949 0.250 1
# crystal system = monoclinic
# SG = No. 13
# electronic total energy = -0.179 hartree per atom

(7)
# HfCd2GeO6 (PBE, relaxed)
data_HfCd2GeO6
_chemical_formula_sum 'Hf1 Cd2 Ge1 O6'
_cell_length_a 5.343
_cell_length_b 5.343
_cell_length_c 4.657
_cell_angle_alpha 90.00
_cell_angle_beta 90.00
_cell_angle_gamma 90.00
_space_group_name_H-M_alt 'P 1'
_space_group_IT_number 1
loop_
_space_group_symop_operation_xyz
'x,y,z'
loop_
_atom_site_label
_atom_site_fract_x
_atom_site_fract_y
_atom_site_fract_z
_atom_site_occupancy
Hf1 0.000 0.000 0.000 1
Cd1 0.000 0.500 0.425 1
Cd2 0.500 0.000 0.425 1
Ge1 0.500 0.500 0.001 1
O1 0.000 0.000 0.581 1
O2 0.262 0.262 0.113 1
O3 0.262 0.738 0.113 1
O4 0.500 0.500 0.620 1
O5 0.738 0.262 0.113 1
O6 0.738 0.738 0.113 1
# raw formation energy = -1.7947 eV/atom
# crystal system = tetragonal
# SG = No. 99
# electronic total energy = -0.236 hartree per atom

(8)
# Li5B8C8 (PBE, relaxed)
data_Li5B8C8
_chemical_formula_sum 'Li5 B8 C8'
_cell_length_a 7.839
_cell_length_b 7.839
_cell_length_c 9.411
_cell_angle_alpha 107.87
_cell_angle_beta 107.87
_cell_angle_gamma 19.81
_space_group_name_H-M_alt 'P 1'
_space_group_IT_number 1
loop_
_space_group_symop_operation_xyz
'x,y,z'
loop_
_atom_site_label
_atom_site_fract_x
_atom_site_fract_y
_atom_site_fract_z
_atom_site_occupancy
Li1 0.000 0.000 0.000 1
Li2 0.496 0.496 0.273 1
Li3 0.503 0.503 0.730 1
Li4 0.747 0.747 0.372 1
Li5 0.753 0.753 0.882 1
B1 0.118 0.118 0.230 1
B2 0.129 0.129 0.734 1
B3 0.375 0.375 0.515 1
B4 0.381 0.381 0.022 1
B5 0.624 0.624 0.983 1
B6 0.628 0.628 0.488 1
B7 0.866 0.866 0.261 1
B8 0.877 0.877 0.766 1
C1 0.124 0.124 0.398 1
C2 0.125 0.125 0.898 1
C3 0.364 0.364 0.347 1
C4 0.380 0.380 0.855 1
C5 0.616 0.616 0.144 1
C6 0.630 0.630 0.652 1
C7 0.878 0.878 0.603 1
C8 0.879 0.879 0.105 1
# crystal system = monoclinic
# ΔE to the lowest computed polymorph = 0.000 eV per atom
# SG = No. 8
# electronic total energy = -0.245 hartree per atom

(9)
# ZnGePb2Cl (PBE, relaxed)
data_ZnGePb2Cl
_chemical_formula_sum 'Zn1 Ge1 Pb2 Cl1'
_cell_length_a 5.818
_cell_length_b 5.818
_cell_length_c 4.636
_cell_angle_alpha 90.00
_cell_angle_beta 90.00
_cell_angle_gamma 90.00
_space_group_name_H-M_alt 'P 1'
_space_group_IT_number 1
loop_
_space_group_symop_operation_xyz
'x,y,z'
loop_
_atom_site_label
_atom_site_fract_x
_atom_site_fract_y
_atom_site_fract_z
_atom_site_occupancy
Zn1 0.000 0.000 0.000 1
Ge1 0.000 0.000 0.500 1
Pb1 0.000 0.500 0.500 1
Pb2 0.500 0.000 0.500 1
Cl1 0.500 0.500 0.000 1
# raw formation energy = 0.1450 eV/atom
# crystal system = tetragonal
# SG = No. 123
# electronic total energy = -0.106 hartree per atom

(10)
# Li6Cd5Pt (PBE, relaxed)
data_Li6Cd5Pt
_chemical_formula_sum 'Li6 Cd5 Pt1'
_cell_length_a 7.850
_cell_length_b 7.850
_cell_length_c 4.487
_cell_angle_alpha 106.01
_cell_angle_beta 106.01
_cell_angle_gamma 51.42
_space_group_name_H-M_alt 'P 1'
_space_group_IT_number 1
loop_
_space_group_symop_operation_xyz
'x,y,z'
loop_
_atom_site_label
_atom_site_fract_x
_atom_site_fract_y
_atom_site_fract_z
_atom_site_occupancy
Li1 0.079 0.605 0.342 1
Li2 0.227 0.773 0.000 1
Li3 0.395 0.921 0.658 1
Li4 0.605 0.079 0.342 1
Li5 0.773 0.227 0.000 1
Li6 0.921 0.395 0.658 1
Cd1 0.167 0.167 0.168 1
Cd2 0.334 0.334 0.835 1
Cd3 0.500 0.500 0.500 1
Cd4 0.666 0.666 0.165 1
Cd5 0.833 0.833 0.832 1
Pt1 0.000 0.000 0.500 1
# crystal system = monoclinic
# SG = No. 12
# electronic total energy = -0.079 hartree per atom

(11)
# Ce2PuWN6 (PBE, relaxed)
data_Ce2PuWN6
_chemical_formula_sum 'Ce4 Pu2 W2 N12'
_cell_length_a 5.698
_cell_length_b 5.803
_cell_length_c 9.888
_cell_angle_alpha 90.00
_cell_angle_beta 124.87
_cell_angle_gamma 90.00
_space_group_name_H-M_alt 'P 1'
_space_group_IT_number 1
loop_
_space_group_symop_operation_xyz
'x,y,z'
loop_
_atom_site_label
_atom_site_fract_x
_atom_site_fract_y
_atom_site_fract_z
_atom_site_occupancy
Ce1 0.241 0.049 0.252 1
Ce2 0.241 0.451 0.752 1
Ce3 0.759 0.549 0.248 1
Ce4 0.759 0.951 0.748 1
Pu1 0.500 0.000 0.000 1
Pu2 0.500 0.500 0.500 1
W1 0.000 0.000 0.500 1
W2 0.000 0.500 0.000 1
N1 0.136 0.207 0.943 1
N2 0.136 0.293 0.443 1
N3 0.232 0.693 0.944 1
N4 0.232 0.807 0.444 1
N5 0.347 0.031 0.740 1
N6 0.347 0.469 0.240 1
N7 0.653 0.531 0.760 1
N8 0.653 0.969 0.260 1
N9 0.768 0.193 0.556 1
N10 0.768 0.307 0.056 1
N11 0.864 0.707 0.557 1
N12 0.864 0.793 0.057 1
# raw formation energy = -1.0532 eV/atom
# crystal system = monoclinic
# SG = No. 14
# electronic total energy = -0.366 hartree per atom

(12)
# Rb2BaCdF (PBE, relaxed)
data_Rb2BaCdF
_chemical_formula_sum 'Rb2 Ba1 Cd1 F1'
_cell_length_a 5.813
_cell_length_b 5.813
_cell_length_c 5.687
_cell_angle_alpha 90.00
_cell_angle_beta 90.00
_cell_angle_gamma 90.00
_space_group_name_H-M_alt 'P 1'
_space_group_IT_number 1
loop_
_space_group_symop_operation_xyz
'x,y,z'
loop_
_atom_site_label
_atom_site_fract_x
_atom_site_fract_y
_atom_site_fract_z
_atom_site_occupancy
Rb1 0.000 0.500 0.000 1
Rb2 0.500 0.000 0.000 1
Ba1 0.000 0.000 0.500 1
Cd1 0.500 0.500 0.500 1
F1 0.000 0.000 0.000 1
# raw formation energy = -1.0359 eV/atom
# crystal system = tetragonal
# SG = No. 123
# electronic total energy = -0.087 hartree per atom

Question: Among the records above, which one has the highest electronic total energy?
Answer: Li6Cd5Pt

What did the fourth record say?
# HoInRh (PBE, relaxed)
data_HoInRh
_chemical_formula_sum 'Ho3 In3 Rh3'
_cell_length_a 7.538
_cell_length_b 7.538
_cell_length_c 3.880
_cell_angle_alpha 90.00
_cell_angle_beta 90.00
_cell_angle_gamma 120.00
_space_group_name_H-M_alt 'P 1'
_space_group_IT_number 1
loop_
_space_group_symop_operation_xyz
'x,y,z'
loop_
_atom_site_label
_atom_site_fract_x
_atom_site_fract_y
_atom_site_fract_z
_atom_site_occupancy
Ho1 0.000 0.404 0.000 1
Ho2 0.404 0.000 0.000 1
Ho3 0.596 0.596 0.000 1
In1 0.000 0.741 0.500 1
In2 0.259 0.259 0.500 1
In3 0.741 0.000 0.500 1
Rh1 0.000 0.000 0.000 1
Rh2 0.333 0.667 0.500 1
Rh3 0.667 0.333 0.500 1
# crystal system = hexagonal
# SG = No. 189
# electronic total energy = -0.208 hartree per atom

Please write out number 8 again, unchanged.
# Li5B8C8 (PBE, relaxed)
data_Li5B8C8
_chemical_formula_sum 'Li5 B8 C8'
_cell_length_a 7.839
_cell_length_b 7.839
_cell_length_c 9.411
_cell_angle_alpha 107.87
_cell_angle_beta 107.87
_cell_angle_gamma 19.81
_space_group_name_H-M_alt 'P 1'
_space_group_IT_number 1
loop_
_space_group_symop_operation_xyz
'x,y,z'
loop_
_atom_site_label
_atom_site_fract_x
_atom_site_fract_y
_atom_site_fract_z
_atom_site_occupancy
Li1 0.000 0.000 0.000 1
Li2 0.496 0.496 0.273 1
Li3 0.503 0.503 0.730 1
Li4 0.747 0.747 0.372 1
Li5 0.753 0.753 0.882 1
B1 0.118 0.118 0.230 1
B2 0.129 0.129 0.734 1
B3 0.375 0.375 0.515 1
B4 0.381 0.381 0.022 1
B5 0.624 0.624 0.983 1
B6 0.628 0.628 0.488 1
B7 0.866 0.866 0.261 1
B8 0.877 0.877 0.766 1
C1 0.124 0.124 0.398 1
C2 0.125 0.125 0.898 1
C3 0.364 0.364 0.347 1
C4 0.380 0.380 0.855 1
C5 0.616 0.616 0.144 1
C6 0.630 0.630 0.652 1
C7 0.878 0.878 0.603 1
C8 0.879 0.879 0.105 1
# crystal system = monoclinic
# ΔE to the lowest computed polymorph = 0.000 eV per atom
# SG = No. 8
# electronic total energy = -0.245 hartree per atom